! La2TlP, optimized geometry, DFT PBE; values from VASP
! Offset from the most stable computed form   1.391 eV per formula unit
! Fermi-level density of states   4.04 states/eV/f.u.
! Formation energy   -0.613 eV per atom
&SYSTEM
  ibrav = 0, nat = 4, ntyp = 3
/
ATOMIC_SPECIES
La 138.91 La.upf
Tl 204.38 Tl.upf
P 30.97 P.upf
CELL_PARAMETERS angstrom
-2.524 2.524 4.285
2.524 -2.524 4.285
2.524 2.524 -4.285
ATOMIC_POSITIONS crystal
La 0.250 0.750 0.500
La 0.750 0.250 0.500
Tl 0.000 0.000 0.000
P 0.500 0.500 0.000